(1)
VASP calculation (GGA-PBE) on a relaxed structure of LiMn2Cr.

Lattice parameters (Å, degrees): 2.334 4.020 4.766 90.00 90.00 90.00
Fractional positions:
1 Li 0.000 0.000 0.000
2 Mn 0.000 0.000 0.495
3 Mn 0.500 0.500 0.241
4 Cr 0.500 0.500 0.751

Values from the calculation:
Formation energy   1.47 eV per formula unit
SG   No. 25
Density   6.27 g/cm³
Energy   -7.1019 eV per atom

=====

(2)
VASP calculation (GGA-PBE) on a relaxed structure of LiMn2Cr.

Lattice parameters (Å, degrees): 2.471 2.471 8.207 90.00 90.00 90.00
Fractional positions:
1 Li 0.000 0.000 0.000
2 Mn 0.000 0.000 0.490
3 Mn 0.500 0.500 0.276
4 Cr 0.500 0.500 0.719

Values from the calculation:
Formation energy   1.47 eV per formula unit
SG   No. 99
Density   5.60 g/cm³
Energy   -7.1021 eV per atom

=====

(3)
VASP calculation (GGA-PBE) on a relaxed structure of LiMn2Cr.

Lattice parameters (Å, degrees): 2.339 4.012 4.741 90.00 99.41 90.00
Fractional positions:
1 Li 0.000 0.000 0.000
2 Mn 0.512 0.000 0.494
3 Mn 0.744 0.500 0.245
4 Cr 0.269 0.500 0.750

Values from the calculation:
Formation energy   1.21 eV per formula unit
SG   No. 6
Density   6.39 g/cm³
Energy   -7.1656 eV per atom

=====

(4)
VASP calculation (GGA-PBE) on a relaxed structure of LiMn2Cr.

Lattice parameters (Å, degrees): 2.916 4.023 4.123 90.00 90.00 90.00
Fractional positions:
1 Li 0.000 0.000 0.000
2 Mn 0.000 0.500 0.500
3 Mn 0.500 0.500 0.000
4 Cr 0.500 0.000 0.500

Values from the calculation:
Formation energy   1.26 eV per formula unit
SG   No. 47
Density   5.79 g/cm³
Energy   -7.1544 eV per atom

=====

(5)
VASP calculation (GGA-PBE) on a relaxed structure of LiMn2Cr.

Lattice parameters (Å, degrees): 5.751 5.751 5.751 90.00 90.00 90.00
Fractional positions:
1 Li 0.000 0.000 0.000
2 Li 0.000 0.500 0.500
3 Li 0.500 0.000 0.500
4 Li 0.500 0.500 0.000
5 Mn 0.000 0.000 0.500
6 Mn 0.000 0.500 0.000
7 Mn 0.250 0.250 0.250
8 Mn 0.250 0.750 0.750
9 Mn 0.500 0.000 0.000
10 Mn 0.500 0.500 0.500
11 Mn 0.750 0.250 0.750
12 Mn 0.750 0.750 0.250
13 Cr 0.250 0.250 0.750
14 Cr 0.250 0.750 0.250
15 Cr 0.750 0.250 0.250
16 Cr 0.750 0.750 0.750

Values from the calculation:
Formation energy   1.07 eV per formula unit
SG   No. 216
Density   5.89 g/cm³
Energy   -7.2010 eV per atom

=====

(6)
VASP calculation (GGA-PBE) on a relaxed structure of LiMn2Cr.

Lattice parameters (Å, degrees): 4.068 4.068 2.921 90.00 90.00 90.00
Fractional positions:
1 Li 0.000 0.000 0.000
2 Mn 0.000 0.500 0.500
3 Mn 0.500 0.000 0.500
4 Cr 0.500 0.500 0.000

Values from the calculation:
Formation energy   0.88 eV per formula unit
SG   No. 123
Density   5.80 g/cm³
Energy   -7.2488 eV per atom

=====

(7)
VASP calculation (GGA-PBE) on a relaxed structure of LiMn2Cr.

Lattice parameters (Å, degrees): 2.278 3.996 4.891 90.00 90.00 90.00
Fractional positions:
1 Li 0.000 0.000 0.000
2 Mn 0.500 0.500 0.236
3 Mn 0.500 0.500 0.764
4 Cr 0.000 0.000 0.500

Values from the calculation:
Formation energy   1.59 eV per formula unit
SG   No. 47
Density   6.30 g/cm³
Energy   -7.0720 eV per atom

=====

(8)
VASP calculation (GGA-PBE) on a relaxed structure of LiMn2Cr.

Lattice parameters (Å, degrees): 2.771 3.947 8.469 90.00 90.00 90.00
Fractional positions:
1 Li 0.000 0.000 0.000
2 Li 0.500 0.500 0.000
3 Mn 0.000 0.500 0.267
4 Mn 0.000 0.500 0.733
5 Mn 0.500 0.000 0.267
6 Mn 0.500 0.000 0.733
7 Cr 0.000 0.000 0.500
8 Cr 0.500 0.500 0.500

Values from the calculation:
Formation energy   0.91 eV per formula unit
SG   No. 65
Density   6.05 g/cm³
Energy   -7.2420 eV per atom